Record 1
PBE-GGA B7C5, optimized geometry; total moment = 0.000 μB per atom; formation energy from the elements = 363.1 meV/atom; energy above the most stable polymorph in this dataset = 199 meV per atom; final energy = -88.5 eV per formula unit
1.0
-4.241 -1.986 0.180
2.404 0.355 -4.245
2.210 -3.327 2.528
B C
7 5
Cartesian
-0.408 -4.903 -0.086
2.287 -3.107 -1.130
0.276 -4.310 1.476
0.476 -0.810 -2.374
-0.243 -2.504 -0.832
2.347 -2.005 -2.410
-1.996 -2.935 1.013
-0.533 -3.247 0.506
0.359 -4.778 -1.550
-0.318 -0.960 -1.018
-0.324 -3.440 -2.115
-0.322 -1.280 -3.882


Record 2
PBE-GGA BC, optimized geometry; total moment = 0.000 μB per atom; formation energy from the elements = 443.6 meV/atom; energy above the most stable polymorph in this dataset = 293 meV per atom; final energy = -15.0 eV per formula unit
1.0
2.599 0.000 0.000
0.000 3.785 -0.110
0.000 -0.163 5.532
B C
4 4
Cartesian
0.000 0.890 1.495
1.300 1.785 3.954
0.000 3.627 5.127
1.300 2.834 0.212
1.300 1.857 1.413
0.000 3.675 2.671
1.300 2.785 2.669
0.000 0.819 4.036